A relaxed ErMoC2 crystal, computed with PBEsol.

Cell lengths 5.609, 3.323, 10.631 Å; angles 90.00, 90.00, 90.00 degrees
Fractional positions:
Er  0.086  0.250  0.138
Er  0.414  0.750  0.638
Er  0.586  0.250  0.362
Er  0.914  0.750  0.862
Mo  0.098  0.750  0.391
Mo  0.402  0.250  0.891
Mo  0.598  0.750  0.109
Mo  0.902  0.250  0.609
C  0.159  0.250  0.753
C  0.228  0.250  0.487
C  0.272  0.750  0.987
C  0.341  0.750  0.253
C  0.659  0.250  0.747
C  0.728  0.250  0.013
C  0.772  0.750  0.513
C  0.841  0.750  0.247

Summary:
The energy is -9.3628 eV per atom. For the total magnetization, the calculation gives 0.000 μB/f.u. Its density of states at the Fermi level is 5.58 states/eV/cell. The energy of formation is -0.37 eV/atom.

---

A relaxed MgHg2Pb crystal, computed with PBEsol.

Cell lengths 6.078, 6.078, 6.078 Å; angles 143.65, 132.94, 60.88 degrees
Fractional positions:
Mg  0.000  0.000  0.000
Hg  0.525  0.525  0.000
Hg  0.781  0.281  0.500
Pb  0.253  0.753  0.500

Summary:
The energy is -1.7951 eV per atom. For the total magnetization, the calculation gives 0.000 μB/f.u. Its density of states at the Fermi level is 1.74 states/eV/cell. The energy of formation is -0.08 eV/atom.

---

A relaxed Ca2YAl crystal, computed with PBEsol.

Cell lengths 3.601, 3.601, 9.461 Å; angles 90.00, 90.00, 90.00 degrees
Fractional positions:
Ca  0.000  0.000  0.000
Ca  0.500  0.500  0.322
Y  0.000  0.000  0.615
Al  0.500  0.500  0.795

Summary:
The energy is -3.9315 eV per atom. For the total magnetization, the calculation gives 0.000 μB/f.u. Its density of states at the Fermi level is 3.42 states/eV/cell. The energy of formation is -0.14 eV/atom.

---

A relaxed AlZnSCl2 crystal, computed with PBEsol.

Cell lengths 4.612, 4.612, 4.924 Å; angles 90.00, 90.00, 90.00 degrees
Fractional positions:
Al  0.000  0.000  0.000
Zn  0.500  0.500  0.500
S  0.500  0.500  0.000
Cl  0.000  0.500  0.500
Cl  0.500  0.000  0.500

Summary:
The energy is -3.0618 eV per atom. For the total magnetization, the calculation gives 0.001 μB/f.u. Its density of states at the Fermi level is 2.93 states/eV/cell. The value obtained for the raw formation energy is -0.25 eV per atom.